<1>
# NiGePO2

A geometry-optimized NiGePO2 structure (PBE+U, the Alexandria database).

Lattice parameters (Å, degrees): 3.6942 3.6942 4.6409 90.00 90.00 90.00
Last column: nearest neighbours and their distance in Å.
Fractional positions:
Ni 0.0000 0.0000 0.0000  4 O 1.85
Ge 0.5000 0.5000 0.5000  4 P 2.61
P 0.0000 0.0000 0.5000  2 Ni 2.32
O 0.0000 0.5000 0.0000  2 Ni 1.85
O 0.5000 0.0000 0.0000  2 Ni 1.85

=====

<2>
# NiGePO2

A geometry-optimized NiGePO2 structure (PBE+U, the Alexandria database).

Lattice parameters (Å, degrees): 3.5970 3.5970 5.3405 90.00 90.00 90.00
Last column: nearest neighbours and their distance in Å.
Fractional positions:
Ni 0.0000 0.0000 0.0000  4 P 2.54
Ge 0.5000 0.5000 0.5000  4 O 1.80
P 0.5000 0.5000 0.0000  4 Ni 2.54, 2 Ge 2.67
O 0.0000 0.5000 0.5000  2 Ge 1.80
O 0.5000 0.0000 0.5000  2 Ge 1.80

=====

Of the structures shown above, <2> is the most stable.